Record 1
# BiMoW2

An optimized crystal structure of BiMoW2 (PBE, Alexandria).

Structure (POSCAR):
```
BiMoW2
1.0
4.0350 0.0000 0.0000
0.0000 4.0350 0.0000
0.0000 0.0000 19.6463
Bi Mo W
4 4 8
Cartesian
0.0000 0.0000 0.0000 Bi
0.0000 2.0175 4.9116 Bi
2.0175 0.0000 14.7348 Bi
2.0175 2.0175 9.8232 Bi
0.0000 0.0000 9.8232 Mo
0.0000 2.0175 14.7348 Mo
2.0175 0.0000 4.9116 Mo
2.0175 2.0175 0.0000 Mo
0.8298 1.0087 12.2790 W
1.0087 2.8473 17.1905 W
1.0087 3.2052 7.3674 W
1.1877 1.0087 2.4558 W
2.8473 3.0262 2.4558 W
3.0262 0.8298 7.3674 W
3.0262 1.1877 17.1905 W
3.2052 3.0262 12.2790 W
```

Results
Density = 13.967 g/cm³
DOS at the Fermi energy = 3.5 states/eV/f.u.
SG = I-42d (122)
Electronic total energy = -141.931 eV for the cell shown
Magnetic moment = 2.5 Bohr magnetons per cell
Energy of formation = 123.9 kJ per mole of atoms

Record 2
# BiMo2W

An optimized crystal structure of BiMo2W (PBE, Alexandria).

Structure (POSCAR):
```
BiMo2W
1.0
4.1412 0.0000 0.0000
0.0000 4.1412 0.0000
0.0000 0.0000 18.8902
Bi Mo W
4 8 4
Cartesian
0.0000 0.0000 0.0000 Bi
0.0000 2.0706 4.7226 Bi
2.0706 0.0000 14.1677 Bi
2.0706 2.0706 9.4451 Bi
0.8021 1.0353 11.8064 Mo
1.0353 2.8727 16.5289 Mo
1.0353 3.3391 7.0838 Mo
1.2685 1.0353 2.3613 Mo
2.8727 3.1059 2.3613 Mo
3.1059 0.8021 7.0838 Mo
3.1059 1.2685 16.5289 Mo
3.3391 3.1059 11.8064 Mo
0.0000 0.0000 9.4451 W
0.0000 2.0706 14.1677 W
2.0706 0.0000 4.7226 W
2.0706 2.0706 0.0000 W
```

Results
Density = 11.988 g/cm³
DOS at the Fermi energy = 4.5 states/eV/f.u.
SG = I-42d (122)
Electronic total energy = -134.402 eV for the cell shown
Magnetic moment = 0.0 Bohr magnetons per cell
Energy of formation = 118.1 kJ per mole of atoms

Record 3
# YBiMo3

An optimized crystal structure of YBiMo3 (PBE, Alexandria).

Structure (POSCAR):
```
YBiMo3
1.0
4.9411 0.0000 0.0000
0.0000 4.9411 0.0000
0.0000 0.0000 4.9411
Y Bi Mo
1 1 3
Cartesian
0.0000 0.0000 0.0000 Y
2.4705 2.4705 2.4705 Bi
0.0000 0.0000 2.4705 Mo
0.0000 2.4705 0.0000 Mo
2.4705 0.0000 0.0000 Mo
```

Results
Energy relative to the lowest polymorph listed for this composition = 2.23 eV/f.u.
Density = 8.062 g/cm³
DOS at the Fermi energy = 8.8 states/eV/f.u.
SG = Pm-3m (221)
Electronic total energy = -31.491 eV for the cell shown
Magnetic moment = 3.1 Bohr magnetons per cell
Energy of formation = 219.0 kJ per mole of atoms

Record 4
# Y2BiMo

An optimized crystal structure of Y2BiMo (PBE, Alexandria).

Structure (POSCAR):
```
Y2BiMo
1.0
8.3773 0.0000 0.0000
0.0000 8.3773 0.0000
0.0000 0.0000 6.0807
Y Bi Mo
8 4 4
Cartesian
1.6052 2.0943 0.7601 Y
2.0943 5.7939 2.2803 Y
2.0943 6.7721 5.3207 Y
2.5834 2.0943 3.8005 Y
5.7939 6.2830 3.8005 Y
6.2830 1.6052 5.3207 Y
6.2830 2.5834 2.2803 Y
6.7721 6.2830 0.7601 Y
0.0000 0.0000 3.0404 Bi
0.0000 4.1887 4.5606 Bi
4.1887 0.0000 1.5202 Bi
4.1887 4.1887 0.0000 Bi
0.0000 0.0000 0.0000 Mo
0.0000 4.1887 1.5202 Mo
4.1887 0.0000 4.5606 Mo
4.1887 4.1887 3.0404 Mo
```

Results
Density = 7.514 g/cm³
DOS at the Fermi energy = 3.9 states/eV/f.u.
SG = I-42d (122)
Electronic total energy = -104.151 eV for the cell shown
Magnetic moment = 0.0 Bohr magnetons per cell
Energy of formation = 38.7 kJ per mole of atoms

Record 5
# YBiMo3

An optimized crystal structure of YBiMo3 (PBE, Alexandria).

Structure (POSCAR):
```
YBiMo3
1.0
5.0524 0.0000 0.0000
0.0000 5.0524 0.0000
0.0000 0.0000 5.0524
Y Bi Mo
1 1 3
Cartesian
0.0000 0.0000 0.0000 Y
2.5262 2.5262 2.5262 Bi
0.0000 2.5262 2.5262 Mo
2.5262 0.0000 2.5262 Mo
2.5262 2.5262 0.0000 Mo
```

Results
Energy relative to the lowest polymorph listed for this composition = 0.00 eV/f.u.
Density = 7.541 g/cm³
DOS at the Fermi energy = 8.5 states/eV/f.u.
SG = Pm-3m (221)
Electronic total energy = -33.720 eV for the cell shown
Magnetic moment = 0.0 Bohr magnetons per cell
Energy of formation = 175.9 kJ per mole of atoms

Record 6
# Y2Bi4Mo

An optimized crystal structure of Y2Bi4Mo (PBE, Alexandria).

Structure (POSCAR):
```
Y2Bi4Mo
1.0
5.4768 0.0000 0.0000
0.0000 5.4768 0.0000
0.0000 0.0000 15.2831
Y Bi Mo
4 8 2
Cartesian
0.0000 0.0000 1.7733 Y
0.0000 0.0000 13.5098 Y
2.7384 2.7384 5.8683 Y
2.7384 2.7384 9.4148 Y
0.0000 0.0000 4.8159 Bi
0.0000 0.0000 10.4672 Bi
0.0000 2.7384 0.0000 Bi
0.0000 2.7384 7.6416 Bi
2.7384 0.0000 0.0000 Bi
2.7384 0.0000 7.6416 Bi
2.7384 2.7384 2.8256 Bi
2.7384 2.7384 12.4575 Bi
0.0000 0.0000 7.6416 Mo
2.7384 2.7384 0.0000 Mo
```

Results
Density = 8.039 g/cm³
DOS at the Fermi energy = 6.1 states/eV/f.u.
SG = I4/mmm (139)
Electronic total energy = -76.760 eV for the cell shown
Magnetic moment = 3.3 Bohr magnetons per cell
Energy of formation = 12.4 kJ per mole of atoms

Copy entry 5 word for word.
# YBiMo3

An optimized crystal structure of YBiMo3 (PBE, Alexandria).

Structure (POSCAR):
```
YBiMo3
1.0
5.0524 0.0000 0.0000
0.0000 5.0524 0.0000
0.0000 0.0000 5.0524
Y Bi Mo
1 1 3
Cartesian
0.0000 0.0000 0.0000 Y
2.5262 2.5262 2.5262 Bi
0.0000 2.5262 2.5262 Mo
2.5262 0.0000 2.5262 Mo
2.5262 2.5262 0.0000 Mo
```

Results
Energy relative to the lowest polymorph listed for this composition = 0.00 eV/f.u.
Density = 7.541 g/cm³
DOS at the Fermi energy = 8.5 states/eV/f.u.
SG = Pm-3m (221)
Electronic total energy = -33.720 eV for the cell shown
Magnetic moment = 0.0 Bohr magnetons per cell
Energy of formation = 175.9 kJ per mole of atoms

> Which value of magnetic moment does entry 6 give?

3.3 Bohr magnetons per cell

What did the fifth record say?
# YBiMo3

An optimized crystal structure of YBiMo3 (PBE, Alexandria).

Structure (POSCAR):
```
YBiMo3
1.0
5.0524 0.0000 0.0000
0.0000 5.0524 0.0000
0.0000 0.0000 5.0524
Y Bi Mo
1 1 3
Cartesian
0.0000 0.0000 0.0000 Y
2.5262 2.5262 2.5262 Bi
0.0000 2.5262 2.5262 Mo
2.5262 0.0000 2.5262 Mo
2.5262 2.5262 0.0000 Mo
```

Results
Energy relative to the lowest polymorph listed for this composition = 0.00 eV/f.u.
Density = 7.541 g/cm³
DOS at the Fermi energy = 8.5 states/eV/f.u.
SG = Pm-3m (221)
Electronic total energy = -33.720 eV for the cell shown
Magnetic moment = 0.0 Bohr magnetons per cell
Energy of formation = 175.9 kJ per mole of atoms

> Which of these has the highest energy of formation?

number 3